An optimized crystal structure of BaLiHgSb. Source: Alexandria via LeMat-Bulk, functional PBE.

For the formation energy (no corrections), the calculation gives -625.9 meV/atom. The calculation puts the magnetic moment at 0.000 μB/atom. As for the space group: F-43m (216).

a = 7.937 Å, b = 7.937 Å, c = 7.937 Å
α = 90.00°, β = 90.00°, γ = 90.00°
Sites, in units of the cell vectors:
Ba  0.000  0.000  0.000
Ba  0.000  0.500  0.500
Ba  0.500  0.000  0.500
Ba  0.500  0.500  0.000
Li  0.000  0.000  0.500
Li  0.000  0.500  0.000
Li  0.500  0.000  0.000
Li  0.500  0.500  0.500
Hg  0.250  0.250  0.250
Hg  0.250  0.750  0.750
Hg  0.750  0.250  0.750
Hg  0.750  0.750  0.250
Sb  0.250  0.250  0.750
Sb  0.250  0.750  0.250
Sb  0.750  0.250  0.250
Sb  0.750  0.750  0.750